Arrangement i

Compound: Pr6Y12Mg
Source: Alexandria
Functional: PBE
Structure: relaxed

a b c (Å): 8.613 8.613 8.613
angles (deg): 88.97 88.97 88.97
Element x y z (fractional)
1 Pr 0.738 0.907 0.300
2 Pr 0.700 0.262 0.093
3 Pr 0.093 0.700 0.262
4 Pr 0.262 0.093 0.700
5 Pr 0.300 0.738 0.907
6 Pr 0.907 0.300 0.738
7 Y 0.780 0.536 0.438
8 Y 0.438 0.780 0.536
9 Y 0.536 0.438 0.780
10 Y 0.220 0.464 0.562
11 Y 0.562 0.220 0.464
12 Y 0.464 0.562 0.220
13 Y 0.016 0.185 0.362
14 Y 0.815 0.638 0.984
15 Y 0.638 0.984 0.815
16 Y 0.984 0.815 0.638
17 Y 0.185 0.362 0.016
18 Y 0.362 0.016 0.185
19 Mg 0.000 0.000 0.000

Summary:
- Calculated volume: 33.6 Å³/atom
- Space-group type: R-3, No. 148


Arrangement ii

Compound: Pr6Y12Mg
Source: Alexandria
Functional: PBE
Structure: relaxed

a b c (Å): 8.782 8.782 8.782
angles (deg): 97.58 97.58 97.58
Element x y z (fractional)
1 Pr 0.135 0.135 0.408
2 Pr 0.865 0.592 0.865
3 Pr 0.592 0.865 0.865
4 Pr 0.865 0.865 0.592
5 Pr 0.135 0.408 0.135
6 Pr 0.408 0.135 0.135
7 Y 0.592 0.167 0.592
8 Y 0.167 0.592 0.592
9 Y 0.592 0.592 0.167
10 Y 0.408 0.833 0.408
11 Y 0.833 0.408 0.408
12 Y 0.408 0.408 0.833
13 Y 0.262 0.000 0.738
14 Y 0.262 0.738 0.000
15 Y 0.000 0.262 0.738
16 Y 0.738 0.000 0.262
17 Y 0.738 0.262 0.000
18 Y 0.000 0.738 0.262
19 Mg 0.000 0.000 0.000

Summary:
- Calculated volume: 34.6 Å³/atom
- Space-group type: R-3m, No. 166


Stability, descending: arrangement i, arrangement ii


Arrangement i

Compound: Pr6Y3Mg
Source: Alexandria
Functional: PBE
Structure: relaxed

a b c (Å): 5.163 11.399 11.528
angles (deg): 90.89 90.00 90.00
Element x y z (fractional)
1 Pr 0.250 0.449 0.101
2 Pr 0.750 0.551 0.899
3 Pr 0.250 0.150 0.197
4 Pr 0.750 0.850 0.803
5 Pr 0.250 0.654 0.700
6 Pr 0.750 0.346 0.300
7 Pr 0.250 0.246 0.499
8 Pr 0.750 0.754 0.501
9 Pr 0.250 0.852 0.307
10 Pr 0.750 0.148 0.693
11 Pr 0.250 0.048 0.896
12 Pr 0.750 0.952 0.104
13 Y 0.250 0.549 0.400
14 Y 0.750 0.451 0.600
15 Y 0.250 0.350 0.797
16 Y 0.750 0.650 0.203
17 Y 0.250 0.751 0.005
18 Y 0.750 0.249 0.995
19 Mg 0.250 0.952 0.596
20 Mg 0.750 0.048 0.404

Summary:
- Calculated volume: 33.9 Å³/atom
- Space-group type: P2_1/m, No. 11


Arrangement ii

Compound: Pr6Y3Mg
Source: Alexandria
Functional: PBE
Structure: relaxed

a b c (Å): 6.658 9.325 11.311
angles (deg): 90.00 92.41 90.00
Element x y z (fractional)
1 Pr 0.587 0.161 0.990
2 Pr 0.542 0.161 0.538
3 Pr 0.722 0.343 0.271
4 Pr 0.278 0.657 0.729
5 Pr 0.458 0.839 0.462
6 Pr 0.413 0.839 0.010
7 Pr 0.087 0.339 0.490
8 Pr 0.042 0.339 0.038
9 Pr 0.222 0.157 0.771
10 Pr 0.778 0.843 0.229
11 Pr 0.958 0.661 0.962
12 Pr 0.913 0.661 0.510
13 Y 0.729 0.898 0.755
14 Y 0.500 0.500 0.000
15 Y 0.271 0.102 0.245
16 Y 0.229 0.602 0.255
17 Y 0.000 0.000 0.500
18 Y 0.771 0.398 0.745
19 Mg 0.500 0.500 0.500
20 Mg 0.000 0.000 0.000

Summary:
- Calculated volume: 35.1 Å³/atom
- Space-group type: P2_1/c, No. 14


Stability, descending: arrangement i, arrangement ii